Ce4Co2Sn5 | GGA-PBE | optimized geometry

The structure belongs to space group C2/m (No. 12); the cell edges are 14.061, 4.417 and 10.997 Å and the angles 90.00°, 127.92° and 90.00°. The asymmetric unit holds Ce at (0.069, 0.000, 0.222), Ce at (0.167, 0.500, 0.781), Co at (0.236, 0.000, 0.654), Sn at (0.000, 0.000, 0.500), Sn at (0.125, 0.500, 0.045) and Sn at (0.150, 0.500, 0.475).

Its crystal system is monoclinic. The formation energy comes out at -0.5197 eV/atom.